## Tb2CeNd3As6 (PBE)

Data for crystalline Tb2CeNd3As6 at its relaxed geometry.

Calculated values
- energy of formation from the pure elements (eV per atom) = -1.51
- symmetry = C2/m, No. 12

a b c (Å): 7.2995 7.2995 7.3106
angles (deg): 99.58 99.58 120.00
Closest atoms and distances in Å follow each position.
Fractional coordinates of all 12 atoms:
Tb 0.3334 0.6666 0.0000  6 As 2.95
Tb 0.6666 0.3334 0.0000  6 As 2.95
Ce 0.0000 0.0000 0.0000  6 As 2.95
Nd 0.1666 0.8334 0.5000  6 As 3.01-3.02
Nd 0.8334 0.1666 0.5000  6 As 3.01-3.02
Nd 0.5000 0.5000 0.5000  6 As 3.01-3.02
As 0.9193 0.5862 0.7578  1 Ce 2.95, 2 Tb 2.95, 3 Nd 3.01-3.02
As 0.7474 0.7474 0.2414  1 Ce 2.95, 2 Tb 2.95, 3 Nd 3.02
As 0.0807 0.4138 0.2422  1 Ce 2.95, 2 Tb 2.95, 3 Nd 3.01-3.02
As 0.5862 0.9193 0.7578  1 Ce 2.95, 2 Tb 2.95, 3 Nd 3.01-3.02
As 0.2526 0.2526 0.7586  1 Ce 2.95, 2 Tb 2.95, 3 Nd 3.02
As 0.4138 0.0807 0.2422  1 Ce 2.95, 2 Tb 2.95, 3 Nd 3.01-3.02